Record 1
NaHN: relaxed, PBE.

CIF file:
```
data_NaHN
_cell_length_a 4.6456
_cell_length_b 4.1147
_cell_length_c 6.4699
_cell_angle_alpha 90.00
_cell_angle_beta 90.00
_cell_angle_gamma 90.00
_symmetry_space_group_name_H-M 'P n m a'
_symmetry_Int_Tables_number 62
_symmetry_space_group_name_Hall '-P 2ac 2n'
loop_
_atom_site_label
_atom_site_type_symbol
_atom_site_fract_x
_atom_site_fract_y
_atom_site_fract_z
_atom_site_occupancy
Na1 Na 0.1588 0.2500 0.1198 1
H1 H 0.0802 0.2500 0.5947 1
N1 N 0.0798 0.2500 0.7544 1
```

Computed properties:
**VASP energy**: -4.137 eV per atom

Record 2
Al2NiMo: relaxed, PBE.

CIF file:
```
data_Al2NiMo
_cell_length_a 2.7965
_cell_length_b 3.5345
_cell_length_c 5.6605
_cell_angle_alpha 90.00
_cell_angle_beta 90.00
_cell_angle_gamma 90.00
_symmetry_space_group_name_H-M 'P m m 2'
_symmetry_Int_Tables_number 25
_symmetry_space_group_name_Hall 'P 2 -2'
loop_
_atom_site_label
_atom_site_type_symbol
_atom_site_fract_x
_atom_site_fract_y
_atom_site_fract_z
_atom_site_occupancy
Al1 Al 0.0000 0.0000 0.0000 1
Al2 Al 0.5000 0.5000 0.2721 1
Ni1 Ni 0.5000 0.5000 0.8019 1
Mo1 Mo 0.0000 0.0000 0.5215 1
```

Computed properties:
**VASP energy**: -6.227 eV per atom

no.,D(E_F) (states/eV per cell),size of the total moment (μB per formula unit)
1,0.0,0.0
2,2.3,0.0